Density functional theory data (GGA-PBE) for a relaxed structure of Ag2AsW.

Output
Energy   -5.030 eV/atom
Space-group type   I-42d (122)
Energy relative to the elements   0.796 eV/atom
N(E_F)   3.95 states/eV/f.u.

Cell lengths 7.559, 7.559, 5.930 Å; angles 50.40, 50.40, 90.00 degrees
Atoms (fractional coordinates):
W 0.000 0.000 0.000
W 0.750 0.250 0.500
As 0.500 0.500 0.000
As 0.250 0.750 0.500
Ag 0.607 0.125 0.250
Ag 0.875 0.857 0.750
Ag 0.375 0.393 0.750
Ag 0.143 0.625 0.250